No. 1
Density functional theory data (GGA-PBE) for a relaxed structure of PmDy6Tm12.

Offset from the most stable computed form, meV/atom: 285

a = 9.1631 Å, b = 9.1631 Å, c = 9.1631 Å
α = 106.83°, β = 106.83°, γ = 106.83°
Last column: nearest neighbours and their distance in Å.
Fractional positions:
Pm  0.0000  0.0000  0.0000  6 Tm 3.36
Dy  0.2875  0.6875  0.6875  8 Tm 3.29-3.50, 2 Dy 3.58
Dy  0.3125  0.3125  0.7125  8 Tm 3.29-3.50, 2 Dy 3.58
Dy  0.3125  0.7125  0.3125  8 Tm 3.29-3.50, 2 Dy 3.58
Dy  0.6875  0.2875  0.6875  8 Tm 3.29-3.50, 2 Dy 3.58
Dy  0.6875  0.6875  0.2875  8 Tm 3.29-3.50, 2 Dy 3.58
Dy  0.7125  0.3125  0.3125  8 Tm 3.29-3.50, 2 Dy 3.58
Tm  0.1093  0.3419  0.3419  4 Dy 3.30-3.50, 1 Pm 3.36, 4 Tm 3.41-3.42
Tm  0.1121  0.5000  0.8879  4 Dy 3.29-3.42, 3 Tm 3.30-3.41
Tm  0.1121  0.8879  0.5000  4 Dy 3.29-3.42, 3 Tm 3.30-3.41
Tm  0.3419  0.1093  0.3419  4 Dy 3.30-3.50, 1 Pm 3.36, 4 Tm 3.41-3.42
Tm  0.3419  0.3419  0.1093  4 Dy 3.30-3.50, 1 Pm 3.36, 4 Tm 3.41-3.42
Tm  0.5000  0.1121  0.8879  4 Dy 3.29-3.42, 3 Tm 3.30-3.41
Tm  0.5000  0.8879  0.1121  4 Dy 3.29-3.42, 3 Tm 3.30-3.41
Tm  0.6581  0.6581  0.8907  4 Dy 3.30-3.50, 1 Pm 3.36, 4 Tm 3.41-3.42
Tm  0.6581  0.8907  0.6581  4 Dy 3.30-3.50, 1 Pm 3.36, 4 Tm 3.41-3.42
Tm  0.8879  0.1121  0.5000  4 Dy 3.29-3.42, 3 Tm 3.30-3.41
Tm  0.8879  0.5000  0.1121  4 Dy 3.29-3.42, 3 Tm 3.30-3.41
Tm  0.8907  0.6581  0.6581  4 Dy 3.30-3.50, 1 Pm 3.36, 4 Tm 3.41-3.42

No. 2
Density functional theory data (GGA-PBE) for a relaxed structure of Rb2BaIO.

ΔE_f (raw), meV/atom: 151.5

a = 8.4667 Å, b = 8.4667 Å, c = 6.4918 Å
α = 90.00°, β = 90.00°, γ = 90.00°
Last column: nearest neighbours and their distance in Å.
Fractional positions:
Rb  0.0000  0.5000  0.0000  2 Ba 4.23
Rb  0.5000  0.0000  0.0000  2 Ba 4.23
Ba  0.0000  0.0000  0.0000  2 I 3.25
I  0.0000  0.0000  0.5000  2 Ba 3.25
O  0.5000  0.5000  0.5000  8 Rb 5.33

No. 3
Density functional theory data (GGA-PBE) for a relaxed structure of Th3N4.

Offset from the most stable computed form, meV/atom: 0
ΔE_f (raw), meV/atom: -1611.9

a = 9.4292 Å, b = 9.4292 Å, c = 9.4292 Å
α = 23.75°, β = 23.75°, γ = 23.75°
Last column: nearest neighbours and their distance in Å.
Fractional positions:
Th  0.0000  0.0000  0.0000  6 N 2.54
Th  0.2219  0.2219  0.2219  4 N 2.31-2.46
Th  0.7781  0.7781  0.7781  4 N 2.31-2.46
N  0.1325  0.1325  0.1325  4 Th 2.31-2.46
N  0.3769  0.3769  0.3769  3 Th 2.54
N  0.6231  0.6231  0.6231  3 Th 2.54
N  0.8675  0.8675  0.8675  4 Th 2.31-2.46

No. 4
Density functional theory data (GGA-PBE) for a relaxed structure of ErThZn.

Offset from the most stable computed form, meV/atom: 21

a = 8.6364 Å, b = 8.6364 Å, c = 5.2640 Å
α = 90.00°, β = 90.00°, γ = 156.23°
Last column: nearest neighbours and their distance in Å.
Fractional positions:
Er  0.0767  0.9233  0.7500  6 Zn 2.99-3.18
Er  0.9233  0.0767  0.2500  6 Zn 2.99-3.18
Th  0.2227  0.7773  0.2500  2 Zn 3.20, 6 Th 3.31-3.56
Th  0.7773  0.2227  0.7500  2 Zn 3.20, 6 Th 3.31-3.56
Zn  0.4344  0.5656  0.7500  6 Er 2.99-3.18, 2 Th 3.20
Zn  0.5656  0.4344  0.2500  6 Er 2.99-3.18, 2 Th 3.20

No. 5
Density functional theory data (GGA-PBE) for a relaxed structure of Li3MgSn3S8.

ΔE_f (raw), meV/atom: -774.1

a = 7.5946 Å, b = 7.5946 Å, c = 7.5946 Å
α = 58.79°, β = 58.79°, γ = 58.79°
Last column: nearest neighbours and their distance in Å.
Fractional positions:
Li  0.0000  0.5000  0.5000  6 S 2.65-2.71
Li  0.5000  0.0000  0.5000  6 S 2.65-2.71
Li  0.5000  0.5000  0.0000  6 S 2.65-2.71
Mg  0.5000  0.5000  0.5000  6 S 2.59
Sn  0.0000  0.0000  0.5000  6 S 2.61-2.67
Sn  0.0000  0.5000  0.0000  6 S 2.61-2.67
Sn  0.5000  0.0000  0.0000  6 S 2.61-2.67
S  0.2480  0.7433  0.7433  1 Mg 2.59, 2 Sn 2.61, 2 Li 2.71
S  0.2509  0.2509  0.2509  3 Li 2.65, 3 Sn 2.67
S  0.2567  0.2567  0.7520  1 Mg 2.59, 2 Sn 2.61, 2 Li 2.71
S  0.2567  0.7520  0.2567  1 Mg 2.59, 2 Sn 2.61, 2 Li 2.71
S  0.7433  0.2480  0.7433  1 Mg 2.59, 2 Sn 2.61, 2 Li 2.71
S  0.7433  0.7433  0.2480  1 Mg 2.59, 2 Sn 2.61, 2 Li 2.71
S  0.7491  0.7491  0.7491  3 Li 2.65, 3 Sn 2.67
S  0.7520  0.2567  0.2567  1 Mg 2.59, 2 Sn 2.61, 2 Li 2.71

No. 6
Density functional theory data (GGA-PBE) for a relaxed structure of La11Pr4Er9.

a = 15.5469 Å, b = 15.5469 Å, c = 3.7551 Å
α = 90.00°, β = 90.00°, γ = 113.12°
Last column: nearest neighbours and their distance in Å.
Fractional positions:
La  0.0000  0.0000  0.0000  8 Er 3.56, 2 La 3.76
La  0.0444  0.4069  0.0000  2 Pr 3.47, 6 Er 3.58-3.79, 3 La 3.66-3.76
La  0.1589  0.8411  0.0000  8 Er 3.75, 5 La 3.76-4.12
La  0.2892  0.2892  0.0000  4 Pr 3.34, 4 Er 3.72
La  0.3667  0.6333  0.0000  4 Pr 3.37, 4 Er 3.67, 2 La 3.76
La  0.4069  0.0444  0.0000  2 Pr 3.47, 6 Er 3.58-3.79, 3 La 3.66-3.76
La  0.5931  0.9556  0.0000  2 Pr 3.47, 6 Er 3.58-3.79, 3 La 3.66-3.76
La  0.6333  0.3667  0.0000  4 Pr 3.37, 4 Er 3.67, 2 La 3.76
La  0.7108  0.7108  0.0000  4 Pr 3.34, 4 Er 3.72
La  0.8411  0.1589  0.0000  8 Er 3.75, 5 La 3.76-4.12
La  0.9556  0.5931  0.0000  2 Pr 3.47, 6 Er 3.58-3.79, 3 La 3.66-3.76
Pr  0.2441  0.4447  0.5000  6 La 3.34-3.47, 3 Er 3.61-3.73
Pr  0.4447  0.2441  0.5000  6 La 3.34-3.47, 3 Er 3.61-3.73
Pr  0.5553  0.7559  0.5000  6 La 3.34-3.47, 3 Er 3.61-3.73
Pr  0.7559  0.5553  0.5000  6 La 3.34-3.47, 3 Er 3.61-3.73
Er  0.0646  0.2110  0.5000  8 La 3.56-3.75, 1 Pr 3.61, 3 Er 3.76-3.80
Er  0.1644  0.6346  0.5000  3 Er 3.44-3.76, 8 La 3.58-3.79, 1 Pr 3.62
Er  0.2110  0.0646  0.5000  8 La 3.56-3.75, 1 Pr 3.61, 3 Er 3.76-3.80
Er  0.3654  0.8356  0.5000  3 Er 3.44-3.76, 8 La 3.58-3.79, 1 Pr 3.62
Er  0.5000  0.5000  0.5000  4 Pr 3.73, 2 Er 3.76, 8 La 3.94-4.07
Er  0.6346  0.1644  0.5000  3 Er 3.44-3.76, 8 La 3.58-3.79, 1 Pr 3.62
Er  0.7890  0.9354  0.5000  8 La 3.56-3.75, 1 Pr 3.61, 3 Er 3.76-3.80
Er  0.8356  0.3654  0.5000  3 Er 3.44-3.76, 8 La 3.58-3.79, 1 Pr 3.62
Er  0.9354  0.7890  0.5000  8 La 3.56-3.75, 1 Pr 3.61, 3 Er 3.76-3.80

No. 7
Density functional theory data (GGA-PBE) for a relaxed structure of SrVSi2Pd.

ΔE_f (raw), meV/atom: 1999.4

a = 5.3596 Å, b = 5.3596 Å, c = 4.9799 Å
α = 90.00°, β = 90.00°, γ = 90.00°
Last column: nearest neighbours and their distance in Å.
Fractional positions:
Sr  0.0000  0.0000  0.0000  2 Pd 2.49, 4 Si 2.68
V  0.5000  0.5000  0.5000  8 Si 3.66, 4 Pd 3.79
Si  0.0000  0.5000  0.0000  2 Sr 2.68
Si  0.5000  0.0000  0.0000  2 Sr 2.68
Pd  0.0000  0.0000  0.5000  2 Sr 2.49

No. 8
Density functional theory data (GGA-PBE) for a relaxed structure of K2Tl3Hg3.

a = 9.2796 Å, b = 9.2796 Å, c = 3.5952 Å
α = 90.00°, β = 90.00°, γ = 120.00°
Last column: nearest neighbours and their distance in Å.
Fractional positions:
K  0.3333  0.6667  0.0000  3 Tl 3.57, 2 K 3.60, 6 Hg 3.62
K  0.6667  0.3333  0.0000  3 Tl 3.57, 2 K 3.60, 6 Hg 3.62
Tl  0.0000  0.7546  0.0000  4 Hg 3.25, 2 K 3.57, 2 Tl 3.60
Tl  0.2454  0.2454  0.0000  4 Hg 3.25, 2 K 3.57, 2 Tl 3.60
Tl  0.7546  0.0000  0.0000  4 Hg 3.25, 2 K 3.57, 2 Tl 3.60
Hg  0.0000  0.3233  0.5000  4 Tl 3.25, 2 Hg 3.60, 4 K 3.62
Hg  0.3233  0.0000  0.5000  4 Tl 3.25, 2 Hg 3.60, 4 K 3.62
Hg  0.6767  0.6767  0.5000  4 Tl 3.25, 2 Hg 3.60, 4 K 3.62

No. 9
Density functional theory data (GGA-PBE) for a relaxed structure of HoErZnRu.

Offset from the most stable computed form, meV/atom: 0

a = 3.4205 Å, b = 3.4205 Å, c = 7.1921 Å
α = 90.00°, β = 90.00°, γ = 90.00°
Last column: nearest neighbours and their distance in Å.
Fractional positions:
Ho  0.0000  0.0000  0.0000  4 Ru 2.93, 4 Zn 3.12
Er  0.0000  0.0000  0.4584  4 Ru 2.92, 4 Zn 3.10
Zn  0.5000  0.5000  0.7271  4 Er 3.10, 4 Ho 3.12, 4 Zn 3.42
Ru  0.5000  0.5000  0.2308  4 Er 2.92, 4 Ho 2.93

No. 10
Density functional theory data (GGA-PBE) for a relaxed structure of TlB2Se6S2.

ΔE_f (raw), meV/atom: -7.1

a = 6.2339 Å, b = 7.6249 Å, c = 8.0583 Å
α = 80.09°, β = 75.42°, γ = 68.48°
Last column: nearest neighbours and their distance in Å.
Fractional positions:
Tl  0.0000  0.0000  0.0000  2 S 2.97, 4 Se 3.05-3.22
B  0.4803  0.1517  0.8793  4 Se 2.06-2.13
B  0.5197  0.8483  0.1207  4 Se 2.06-2.13
Se  0.2875  0.3140  0.6973  1 B 2.07, 1 S 2.30
Se  0.3239  0.1310  0.1381  2 B 2.06-2.07
Se  0.3497  0.6412  0.1873  1 B 2.13, 1 S 2.28
Se  0.6503  0.3588  0.8127  1 B 2.13, 1 S 2.28
Se  0.6761  0.8690  0.8619  2 B 2.06-2.07
Se  0.7125  0.6860  0.3027  1 B 2.07, 1 S 2.30
S  0.0092  0.2061  0.6513  2 Se 2.28-2.30
S  0.9908  0.7939  0.3487  2 Se 2.28-2.30

No. 11
Density functional theory data (GGA-PBE) for a relaxed structure of PmPd8Au3.

a = 5.3029 Å, b = 5.3029 Å, c = 8.6841 Å
α = 90.00°, β = 90.00°, γ = 120.00°
Last column: nearest neighbours and their distance in Å.
Fractional positions:
Pm  0.0000  0.0000  0.0000  12 Pd 3.11-3.15, 4 Au 3.28-3.37
Pd  0.1642  0.3285  0.6821  6 Pd 2.61-2.69
Pd  0.1642  0.8358  0.6821  6 Pd 2.61-2.69
Pd  0.3333  0.6667  0.4322  6 Pd 2.64-2.67
Pd  0.3333  0.6667  0.9331  6 Pd 2.68-2.70
Pd  0.5032  0.0064  0.1869  6 Pd 2.60-2.70
Pd  0.5032  0.4968  0.1869  6 Pd 2.60-2.70
Pd  0.6715  0.8358  0.6821  6 Pd 2.61-2.69
Pd  0.9936  0.4968  0.1869  6 Pd 2.60-2.70
Au  0.0000  0.0000  0.3878  12 Pd 2.97-3.17, 3 Au 3.20
Au  0.6667  0.3333  0.4962  12 Pd 3.08-3.11, 4 Au 3.19-3.20
Au  0.6667  0.3333  0.8639  12 Pd 3.09-3.18, 1 Au 3.19, 3 Pm 3.28

No. 12
Density functional theory data (GGA-PBE) for a relaxed structure of RbPt2Rh.

Offset from the most stable computed form, meV/atom: 490

a = 4.7833 Å, b = 4.7833 Å, c = 4.7833 Å
α = 60.00°, β = 60.00°, γ = 60.00°
Last column: nearest neighbours and their distance in Å.
Fractional positions:
Rb  0.0000  0.0000  0.0000  8 Pt 2.93
Pt  0.2500  0.2500  0.2500  4 Rh 2.93, 4 Rb 2.93
Pt  0.7500  0.7500  0.7500  4 Rh 2.93, 4 Rb 2.93
Rh  0.5000  0.5000  0.5000  8 Pt 2.93

| no. | E_tot (eV per atom) |
| --- | --- |
| 1 | -4.08 |
| 2 | -1.92 |
| 3 | -9.55 |
| 4 | -4.55 |
| 5 | -4.27 |
| 6 | -4.70 |
| 7 | -3.37 |
| 8 | -1.33 |
| 9 | -5.35 |
| 10 | -4.09 |
| 11 | -4.89 |
| 12 | -4.19 |